MnAlHRh2 | Alexandria | PBE | optimized geometry; total DFT energy (no corrections) = -33.2 eV for the cell shown; M_tot = 4.30 μB/cell; space-group type = P4/mmm, No. 123
1.0
-2.735 -2.473 -1.627
2.737 -2.956 -0.109
-1.003 -1.050 3.280
H Mn Rh Al
1 1 2 1
Direct
0.000 0.000 0.000 H
0.000 0.000 0.500 Mn
0.000 0.500 0.000 Rh
0.500 0.000 0.000 Rh
0.500 0.500 0.500 Al